No. 1
VASP calculation (PBE) on a relaxed structure of LaPuBr4.

Unit cell a=7.558 b=7.375 c=7.290 alpha=90.00 beta=90.68 gamma=90.00
Positions (direct):
1 La 0.000 0.000 0.000
2 La 0.000 0.500 0.500
3 Pu 0.500 0.000 0.500
4 Pu 0.500 0.500 0.000
5 Br 0.158 0.147 0.646
6 Br 0.158 0.353 0.146
7 Br 0.347 0.652 0.650
8 Br 0.347 0.848 0.150
9 Br 0.653 0.152 0.850
10 Br 0.653 0.348 0.350
11 Br 0.842 0.647 0.854
12 Br 0.842 0.853 0.354

No. 2
VASP calculation (PBE) on a relaxed structure of LaPuBr6.

Unit cell a=7.970 b=7.970 c=7.970 alpha=53.85 beta=53.85 gamma=53.85
Positions (direct):
1 La 0.000 0.000 0.000
2 Pu 0.500 0.500 0.500
3 Br 0.095 0.414 0.742
4 Br 0.258 0.905 0.586
5 Br 0.414 0.742 0.095
6 Br 0.586 0.258 0.905
7 Br 0.742 0.095 0.414
8 Br 0.905 0.586 0.258

No. 3
VASP calculation (PBE) on a relaxed structure of LaPuBr5.

Unit cell a=8.484 b=4.203 c=13.911 alpha=90.00 beta=92.93 gamma=90.00
Positions (direct):
1 La 0.081 0.250 0.157
2 La 0.919 0.750 0.843
3 Pu 0.414 0.750 0.358
4 Pu 0.586 0.250 0.642
5 Br 0.140 0.250 0.784
6 Br 0.155 0.250 0.373
7 Br 0.185 0.750 0.016
8 Br 0.354 0.750 0.571
9 Br 0.435 0.250 0.195
10 Br 0.565 0.750 0.805
11 Br 0.646 0.250 0.429
12 Br 0.815 0.250 0.984
13 Br 0.845 0.750 0.627
14 Br 0.860 0.750 0.216

no.,energy (eV for the cell shown)
1,-69.4
2,-42.9
3,-79.6